GGA-PBE ScPdSeN2, optimized geometry; SG = P4/mmm, No. 123; calculated density = 4.71 g/cm3; formation energy (no corrections) = 0.7731 eV per atom; energy relative to the lowest polymorph listed for this composition = 6.35 kJ per mole of atoms; DFT total energy = -5.5588 eV per atom
1.0
4.089 0.000 0.000
0.000 4.089 0.000
0.000 0.000 5.446
Sc Pd Se N
1 1 1 2
Cartesian
0.000 0.000 0.000 Sc
2.045 2.045 2.723 Pd
0.000 0.000 2.723 Se
0.000 2.045 0.000 N
2.045 0.000 0.000 N